[1]
InRhI2O | GGA-PBEsol | relaxed

CIF file:
```
data_InRhI2O
_chemical_formula_sum 'In1 Rh1 I2 O1'
_cell_length_a 5.7974
_cell_length_b 5.7974
_cell_length_c 3.8395
_cell_angle_alpha 90.00
_cell_angle_beta 90.00
_cell_angle_gamma 90.00
_symmetry_space_group_name_H-M 'P 4/m m m'
_symmetry_Int_Tables_number 123
_symmetry_space_group_name_Hall '-P 4 2'
loop_
_atom_site_label
_atom_site_fract_x
_atom_site_fract_y
_atom_site_fract_z
In1 0.0000 0.0000 0.0000
Rh1 0.5000 0.5000 0.5000
I1 0.0000 0.5000 0.0000
O1 0.0000 0.0000 0.5000
```

**Formation energy (no corrections)**: 169 kJ/mol of formula units
**Crystal system**: tetragonal
**Density of states at the Fermi level**: 0.955 states/eV/atom

=====

[2]
CrTc2H2 | GGA-PBEsol | relaxed

CIF file:
```
data_CrTc2H2
_chemical_formula_sum 'Cr2 Tc4 H4'
_cell_length_a 2.8305
_cell_length_b 2.8305
_cell_length_c 11.1790
_cell_angle_alpha 90.00
_cell_angle_beta 90.00
_cell_angle_gamma 90.00
_symmetry_space_group_name_H-M 'I 4/m m m'
_symmetry_Int_Tables_number 139
_symmetry_space_group_name_Hall '-I 4 2'
loop_
_atom_site_label
_atom_site_fract_x
_atom_site_fract_y
_atom_site_fract_z
Cr1 0.0000 0.0000 0.0000
Tc1 0.0000 0.0000 0.3602
H1 0.0000 0.5000 0.2500
```

**Crystal system**: tetragonal
**Density of states at the Fermi level**: 0.712 states/eV/atom
**Total energy**: -38.92 eV per formula unit

=====

[3]
MnZnAu2 | GGA-PBEsol | relaxed

CIF file:
```
data_MnZnAu2
_chemical_formula_sum 'Mn2 Zn2 Au4'
_cell_length_a 9.1480
_cell_length_b 3.1324
_cell_length_c 4.4831
_cell_angle_alpha 90.00
_cell_angle_beta 105.51
_cell_angle_gamma 90.00
_symmetry_space_group_name_H-M 'C 1 m 1'
_symmetry_Int_Tables_number 8
_symmetry_space_group_name_Hall 'C -2y'
loop_
_atom_site_label
_atom_site_fract_x
_atom_site_fract_y
_atom_site_fract_z
Mn1 0.0000 0.0000 0.0000
Zn1 0.2548 0.0000 0.7070
Au1 0.0086 0.5000 0.5105
Au2 0.2454 0.5000 0.1941
```

**Crystal system**: monoclinic
**Density of states at the Fermi level**: 0.328 states/eV/atom
**Energy relative to the elements**: -0.2 eV/f.u.

=====

[4]
TlPOs2 | GGA-PBEsol | relaxed

CIF file:
```
data_TlPOs2
_chemical_formula_sum 'Tl1 P1 Os2'
_cell_length_a 4.4023
_cell_length_b 4.4023
_cell_length_c 3.1397
_cell_angle_alpha 90.00
_cell_angle_beta 90.00
_cell_angle_gamma 90.00
_symmetry_space_group_name_H-M 'P 4/m m m'
_symmetry_Int_Tables_number 123
_symmetry_space_group_name_Hall '-P 4 2'
loop_
_atom_site_label
_atom_site_fract_x
_atom_site_fract_y
_atom_site_fract_z
Tl1 0.0000 0.0000 0.0000
P1 0.5000 0.5000 0.0000
Os1 0.0000 0.5000 0.5000
```

**Crystal system**: tetragonal
**Density of states at the Fermi level**: 0.613 states/eV/atom
**Energy relative to the elements**: 3.6 eV/f.u.

=====

[5]
GaRe3H | GGA-PBEsol | relaxed

CIF file:
```
data_GaRe3H
_chemical_formula_sum 'Ga1 Re3 H1'
_cell_length_a 3.9238
_cell_length_b 3.9238
_cell_length_c 3.9238
_cell_angle_alpha 90.00
_cell_angle_beta 90.00
_cell_angle_gamma 90.00
_symmetry_space_group_name_H-M 'P m -3 m'
_symmetry_Int_Tables_number 221
_symmetry_space_group_name_Hall '-P 4 2 3'
loop_
_atom_site_label
_atom_site_fract_x
_atom_site_fract_y
_atom_site_fract_z
Ga1 0.0000 0.0000 0.0000
Re1 0.0000 0.5000 0.5000
H1 0.5000 0.5000 0.5000
```

**Crystal system**: cubic
**Density of states at the Fermi level**: 0.872 states/eV/atom
**Total energy**: -44.60 eV per formula unit

=====

[6]
TcSe2BrF | GGA-PBEsol | relaxed

CIF file:
```
data_TcSe2BrF
_chemical_formula_sum 'Tc1 Se2 Br1 F1'
_cell_length_a 4.6907
_cell_length_b 4.6907
_cell_length_c 5.0216
_cell_angle_alpha 90.00
_cell_angle_beta 90.00
_cell_angle_gamma 90.00
_symmetry_space_group_name_H-M 'P 4/m m m'
_symmetry_Int_Tables_number 123
_symmetry_space_group_name_Hall '-P 4 2'
loop_
_atom_site_label
_atom_site_fract_x
_atom_site_fract_y
_atom_site_fract_z
Tc1 0.0000 0.0000 0.0000
Se1 0.0000 0.5000 0.0000
Br1 0.0000 0.0000 0.5000
F1 0.5000 0.5000 0.5000
```

**Formation energy (no corrections)**: 43 kJ/mol of formula units
**Crystal system**: tetragonal
**Density of states at the Fermi level**: 0.872 states/eV/atom

=====

[7]
Al3BPd | GGA-PBEsol | relaxed

CIF file:
```
data_Al3BPd
_chemical_formula_sum 'Al3 B1 Pd1'
_cell_length_a 4.1046
_cell_length_b 4.1046
_cell_length_c 4.1046
_cell_angle_alpha 90.00
_cell_angle_beta 90.00
_cell_angle_gamma 90.00
_symmetry_space_group_name_H-M 'P m -3 m'
_symmetry_Int_Tables_number 221
_symmetry_space_group_name_Hall '-P 4 2 3'
loop_
_atom_site_label
_atom_site_fract_x
_atom_site_fract_y
_atom_site_fract_z
Al1 0.0000 0.0000 0.5000
B1 0.0000 0.0000 0.0000
Pd1 0.5000 0.5000 0.5000
```

**Crystal system**: cubic
**Density of states at the Fermi level**: 0.434 states/eV/atom
**Energy relative to the elements**: 0.3 eV/f.u.

=====

[8]
CsRhN3 | GGA-PBEsol | relaxed

CIF file:
```
data_CsRhN3
_chemical_formula_sum 'Cs1 Rh1 N3'
_cell_length_a 4.0932
_cell_length_b 4.0932
_cell_length_c 4.0932
_cell_angle_alpha 90.00
_cell_angle_beta 90.00
_cell_angle_gamma 90.00
_symmetry_space_group_name_H-M 'P m -3 m'
_symmetry_Int_Tables_number 221
_symmetry_space_group_name_Hall '-P 4 2 3'
loop_
_atom_site_label
_atom_site_fract_x
_atom_site_fract_y
_atom_site_fract_z
Cs1 0.0000 0.0000 0.0000
Rh1 0.5000 0.5000 0.5000
N1 0.0000 0.5000 0.5000
```

**Formation energy (no corrections)**: 617 kJ/mol of formula units
**Crystal system**: cubic
**Density of states at the Fermi level**: 0.839 states/eV/atom

=====

[9]
Er2ZnS4 | GGA-PBEsol | relaxed

CIF file:
```
data_Er2ZnS4
_chemical_formula_sum 'Er8 Zn4 S16'
_cell_length_a 13.2454
_cell_length_b 7.7271
_cell_length_c 6.2147
_cell_angle_alpha 90.00
_cell_angle_beta 90.00
_cell_angle_gamma 90.00
_symmetry_space_group_name_H-M 'P n m a'
_symmetry_Int_Tables_number 62
_symmetry_space_group_name_Hall '-P 2ac 2n'
loop_
_atom_site_label
_atom_site_fract_x
_atom_site_fract_y
_atom_site_fract_z
Er1 0.0000 0.0000 0.0000
Er2 0.2351 0.2500 0.4953
Zn1 0.0917 0.7500 0.4078
S1 0.0711 0.2500 0.7445
S2 0.0900 0.7500 0.7733
S3 0.1690 0.5119 0.2422
```

**Formation energy (no corrections)**: -1158 kJ/mol of formula units
**Crystal system**: orthorhombic
**Density of states at the Fermi level**: 0.000 states/eV/atom

=====

[10]
ZrPtCl2 | GGA-PBEsol | relaxed

CIF file:
```
data_ZrPtCl2
_chemical_formula_sum 'Zr2 Pt2 Cl4'
_cell_length_a 4.1062
_cell_length_b 4.1062
_cell_length_c 8.1314
_cell_angle_alpha 90.00
_cell_angle_beta 90.00
_cell_angle_gamma 90.00
_symmetry_space_group_name_H-M 'I 4/m m m'
_symmetry_Int_Tables_number 139
_symmetry_space_group_name_Hall '-I 4 2'
loop_
_atom_site_label
_atom_site_fract_x
_atom_site_fract_y
_atom_site_fract_z
Zr1 0.0000 0.0000 0.0000
Pt1 0.0000 0.0000 0.5000
Cl1 0.0000 0.5000 0.2500
```

**Formation energy (no corrections)**: -153 kJ/mol of formula units
**Crystal system**: tetragonal
**Density of states at the Fermi level**: 0.499 states/eV/atom

=====

[11]
YGaCu2H | GGA-PBEsol | relaxed

CIF file:
```
data_YGaCu2H
_chemical_formula_sum 'Y1 Ga1 Cu2 H1'
_cell_length_a 4.6152
_cell_length_b 4.6152
_cell_length_c 3.6412
_cell_angle_alpha 90.00
_cell_angle_beta 90.00
_cell_angle_gamma 90.00
_symmetry_space_group_name_H-M 'P 4/m m m'
_symmetry_Int_Tables_number 123
_symmetry_space_group_name_Hall '-P 4 2'
loop_
_atom_site_label
_atom_site_fract_x
_atom_site_fract_y
_atom_site_fract_z
Y1 0.0000 0.0000 0.0000
Ga1 0.5000 0.5000 0.5000
Cu1 0.0000 0.5000 0.5000
H1 0.5000 0.5000 0.0000
```

**Crystal system**: tetragonal
**Density of states at the Fermi level**: 0.394 states/eV/atom
**Total energy**: -21.44 eV per formula unit

=====

[12]
TcIr2S | GGA-PBEsol | relaxed

CIF file:
```
data_TcIr2S
_chemical_formula_sum 'Tc4 Ir8 S4'
_cell_length_a 6.1170
_cell_length_b 6.1170
_cell_length_c 6.1170
_cell_angle_alpha 90.00
_cell_angle_beta 90.00
_cell_angle_gamma 90.00
_symmetry_space_group_name_H-M 'F m -3 m'
_symmetry_Int_Tables_number 225
_symmetry_space_group_name_Hall '-F 4 2 3'
loop_
_atom_site_label
_atom_site_fract_x
_atom_site_fract_y
_atom_site_fract_z
Tc1 0.0000 0.0000 0.0000
Ir1 0.2500 0.2500 0.2500
S1 0.0000 0.0000 0.5000
```

**Formation energy (no corrections)**: 301 kJ/mol of formula units
**Crystal system**: cubic
**Density of states at the Fermi level**: 1.764 states/eV/atom

=====

[13]
Cd2SnAsI | GGA-PBEsol | relaxed

CIF file:
```
data_Cd2SnAsI
_chemical_formula_sum 'Cd2 Sn1 As1 I1'
_cell_length_a 5.2107
_cell_length_b 5.2107
_cell_length_c 5.8074
_cell_angle_alpha 90.00
_cell_angle_beta 90.00
_cell_angle_gamma 90.00
_symmetry_space_group_name_H-M 'P 4/m m m'
_symmetry_Int_Tables_number 123
_symmetry_space_group_name_Hall '-P 4 2'
loop_
_atom_site_label
_atom_site_fract_x
_atom_site_fract_y
_atom_site_fract_z
Cd1 0.0000 0.5000 0.0000
Sn1 0.0000 0.0000 0.5000
As1 0.0000 0.0000 0.0000
I1 0.5000 0.5000 0.5000
```

**Formation energy (no corrections)**: 93 kJ/mol of formula units
**Crystal system**: tetragonal
**Density of states at the Fermi level**: 0.741 states/eV/atom

=====

[14]
Li2BeAl | GGA-PBEsol | relaxed

CIF file:
```
data_Li2BeAl
_chemical_formula_sum 'Li8 Be4 Al4'
_cell_length_a 5.9183
_cell_length_b 5.9183
_cell_length_c 5.9183
_cell_angle_alpha 90.00
_cell_angle_beta 90.00
_cell_angle_gamma 90.00
_symmetry_space_group_name_H-M 'F -4 3 m'
_symmetry_Int_Tables_number 216
_symmetry_space_group_name_Hall 'F -4 2 3'
loop_
_atom_site_label
_atom_site_fract_x
_atom_site_fract_y
_atom_site_fract_z
Li1 0.0000 0.0000 0.0000
Li2 0.2500 0.2500 0.2500
Be1 0.2500 0.2500 0.7500
Al1 0.0000 0.0000 0.5000
```

**Crystal system**: cubic
**Density of states at the Fermi level**: 0.245 states/eV/atom
**Energy relative to the elements**: -0.1 eV/f.u.

=====

[15]
K2LiMo | GGA-PBEsol | relaxed

CIF file:
```
data_K2LiMo
_chemical_formula_sum 'K2 Li1 Mo1'
_cell_length_a 2.8947
_cell_length_b 2.8947
_cell_length_c 12.3434
_cell_angle_alpha 90.00
_cell_angle_beta 90.00
_cell_angle_gamma 90.00
_symmetry_space_group_name_H-M 'P 4/m m m'
_symmetry_Int_Tables_number 123
_symmetry_space_group_name_Hall '-P 4 2'
loop_
_atom_site_label
_atom_site_fract_x
_atom_site_fract_y
_atom_site_fract_z
K1 0.0000 0.0000 0.2266
Li1 0.5000 0.5000 0.5000
Mo1 0.5000 0.5000 0.0000
```

**Crystal system**: tetragonal
**Density of states at the Fermi level**: 1.087 states/eV/atom
**Energy relative to the elements**: 4.5 eV/f.u.

=====

[16]
Ru8Pt | GGA-PBEsol | relaxed

CIF file:
```
data_Ru8Pt
_chemical_formula_sum 'Ru16 Pt2'
_cell_length_a 8.0213
_cell_length_b 8.0213
_cell_length_c 3.7750
_cell_angle_alpha 90.00
_cell_angle_beta 90.00
_cell_angle_gamma 90.00
_symmetry_space_group_name_H-M 'I 4/m m m'
_symmetry_Int_Tables_number 139
_symmetry_space_group_name_Hall '-I 4 2'
loop_
_atom_site_label
_atom_site_fract_x
_atom_site_fract_y
_atom_site_fract_z
Ru1 0.0000 0.3364 0.0000
Ru2 0.1700 0.1700 0.5000
Pt1 0.0000 0.0000 0.0000
```

**Crystal system**: tetragonal
**Density of states at the Fermi level**: 1.045 states/eV/atom
**Energy relative to the elements**: 0.6 eV/f.u.

=====

[17]
CuSbPb | GGA-PBEsol | relaxed

CIF file:
```
data_CuSbPb
_chemical_formula_sum 'Cu4 Sb4 Pb4'
_cell_length_a 6.8536
_cell_length_b 6.8536
_cell_length_c 6.8536
_cell_angle_alpha 90.00
_cell_angle_beta 90.00
_cell_angle_gamma 90.00
_symmetry_space_group_name_H-M 'F -4 3 m'
_symmetry_Int_Tables_number 216
_symmetry_space_group_name_Hall 'F -4 2 3'
loop_
_atom_site_label
_atom_site_fract_x
_atom_site_fract_y
_atom_site_fract_z
Cu1 0.0000 0.0000 0.0000
Sb1 0.2500 0.2500 0.2500
Pb1 0.0000 0.0000 0.5000
```

**Formation energy (no corrections)**: 118 kJ/mol of formula units
**Crystal system**: cubic
**Density of states at the Fermi level**: 0.127 states/eV/atom

=====

[18]
KLaTl2O | GGA-PBEsol | relaxed

CIF file:
```
data_KLaTl2O
_chemical_formula_sum 'K1 La1 Tl2 O1'
_cell_length_a 5.2385
_cell_length_b 5.2385
_cell_length_c 4.7592
_cell_angle_alpha 90.00
_cell_angle_beta 90.00
_cell_angle_gamma 90.00
_symmetry_space_group_name_H-M 'P 4/m m m'
_symmetry_Int_Tables_number 123
_symmetry_space_group_name_Hall '-P 4 2'
loop_
_atom_site_label
_atom_site_fract_x
_atom_site_fract_y
_atom_site_fract_z
K1 0.0000 0.0000 0.0000
La1 0.5000 0.5000 0.0000
Tl1 0.0000 0.5000 0.5000
O1 0.0000 0.0000 0.5000
```

**Formation energy (no corrections)**: -119 kJ/mol of formula units
**Crystal system**: tetragonal
**Density of states at the Fermi level**: 1.166 states/eV/atom

=====

[19]
CaYPb2 | GGA-PBEsol | relaxed

CIF file:
```
data_CaYPb2
_chemical_formula_sum 'Ca2 Y2 Pb4'
_cell_length_a 7.1196
_cell_length_b 8.7593
_cell_length_c 3.5450
_cell_angle_alpha 90.00
_cell_angle_beta 90.00
_cell_angle_gamma 90.00
_symmetry_space_group_name_H-M 'C m m m'
_symmetry_Int_Tables_number 65
_symmetry_space_group_name_Hall '-C 2 2'
loop_
_atom_site_label
_atom_site_fract_x
_atom_site_fract_y
_atom_site_fract_z
Ca1 0.0000 0.0000 0.0000
Y1 0.0000 0.5000 0.0000
Pb1 0.2500 0.2500 0.5000
```

**Crystal system**: orthorhombic
**Density of states at the Fermi level**: 0.682 states/eV/atom
**Energy relative to the elements**: -2.1 eV/f.u.

=====

[20]
TaMn2Tc | GGA-PBEsol | relaxed

CIF file:
```
data_TaMn2Tc
_chemical_formula_sum 'Ta1 Mn2 Tc1'
_cell_length_a 2.7020
_cell_length_b 2.7020
_cell_length_c 7.1964
_cell_angle_alpha 90.00
_cell_angle_beta 90.00
_cell_angle_gamma 90.00
_symmetry_space_group_name_H-M 'P 4 m m'
_symmetry_Int_Tables_number 99
_symmetry_space_group_name_Hall 'P 4 -2'
loop_
_atom_site_label
_atom_site_fract_x
_atom_site_fract_y
_atom_site_fract_z
Ta1 0.0000 0.0000 0.0000
Mn1 0.0000 0.0000 0.5498
Mn2 0.5000 0.5000 0.7261
Tc1 0.5000 0.5000 0.3073
```

**Crystal system**: tetragonal
**Density of states at the Fermi level**: 0.986 states/eV/atom
**Energy relative to the elements**: 0.3 eV/f.u.